A relaxed TiMnF2 crystal. Source: Alexandria, functional GGA+U.

Calculated values
ΔE to the lowest computed polymorph: 0.423 eV/atom
space-group type: Fm-3m, No. 225
calculated density: 4.3 g/cm³
energy: -23.26 eV/cell

a = 4.2597 Å, b = 4.2597 Å, c = 4.2597 Å
α = 60.00°, β = 60.00°, γ = 60.00°
Closest atoms and distances in Å follow each position.
Atoms (fractional coordinates):
Mn (0.5000, 0.5000, 0.5000)  8 F 2.61
F (0.2500, 0.2500, 0.2500)  4 Mn 2.61, 4 Ti 2.61
F (0.7500, 0.7500, 0.7500)  4 Mn 2.61, 4 Ti 2.61
Ti (0.0000, 0.0000, 0.0000)  8 F 2.61